# 1
Compound: Ce2Pm3Bi3
Source: Alexandria
Functional: PBE
Structure: relaxed

```
Ce2Pm3Bi3
1.0
6.454 0.000 0.000
0.000 9.499 0.000
0.000 -4.750 8.227
Pm Bi Ce
6 6 4
Direct
0.250 0.251 0.251
0.750 0.000 0.251
0.750 0.251 0.000
0.250 0.000 0.749
0.750 0.749 0.749
0.250 0.749 0.000
0.250 0.615 0.615
0.750 0.000 0.615
0.750 0.385 0.385
0.250 0.385 0.000
0.250 0.000 0.385
0.750 0.615 0.000
0.500 0.667 0.333
0.000 0.333 0.667
0.500 0.333 0.667
0.000 0.667 0.333
```

Output
SG   P6_3/mcm (193)
Calculated formation energy   -0.715 eV/atom
Fermi-level density of states   1.950 states/eV/atom
E_tot   -87.0 eV per cell

# 2
Compound: CsLiSm2F8
Source: Alexandria
Functional: PBE
Structure: relaxed

```
CsLiSm2F8
1.0
4.400 -0.035 0.186
0.043 6.630 -0.347
0.277 -0.416 7.513
Cs F Sm Li
1 8 2 1
Direct
0.000 0.000 0.500
0.934 0.444 0.732
0.467 0.305 0.504
0.195 0.846 0.819
0.805 0.154 0.181
0.066 0.556 0.268
0.620 0.690 0.029
0.380 0.310 0.971
0.533 0.695 0.496
0.427 0.541 0.762
0.573 0.459 0.238
0.000 0.000 0.000
```

Output
SG   P-1 (2)
Fermi-level density of states   0.000 states/eV/atom
E_tot   -70.9 eV per cell
Uncorrected formation energy   -43.75 eV/f.u.

# 3
Compound: Ta4VMo5
Source: Alexandria
Functional: PBE
Structure: relaxed

```
Ta4VMo5
1.0
-1.065 -2.691 -1.380
-1.352 -0.885 2.769
-13.487 7.485 -4.194
Ta Mo V
4 5 1
Direct
0.000 0.000 0.805
0.000 0.000 0.398
0.000 0.000 0.195
0.000 0.000 0.602
0.500 0.500 0.704
0.500 0.500 0.094
0.500 0.500 0.296
0.500 0.500 0.906
0.500 0.500 0.500
0.000 0.000 0.000
```

Output
SG   P4/mmm (123)
Calculated formation energy   -0.169 eV/atom
Fermi-level density of states   0.974 states/eV/atom
E_tot   -112.4 eV per cell

# 4
Compound: VReTc2
Source: Alexandria
Functional: PBE
Structure: relaxed

```
VReTc2
1.0
-2.265 -2.546 -1.753
2.264 -2.895 1.278
-2.173 -0.280 3.215
V Re Tc
1 1 2
Direct
0.500 0.500 0.500
0.500 0.000 0.000
0.000 0.500 0.000
0.000 0.000 0.500
```

Output
SG   P4/mmm (123)
Calculated formation energy   0.055 eV/atom
Fermi-level density of states   1.404 states/eV/atom
E_tot   -42.1 eV per cell

# 5
Compound: Ca4Pm3TmTe8
Source: Alexandria
Functional: PBE
Structure: relaxed

```
Ca4Pm3TmTe8
1.0
8.852 0.000 0.000
0.000 8.993 0.093
-4.426 -4.422 6.262
Te Ca Pm Tm
8 4 3 1
Direct
0.246 0.748 0.003
0.757 0.748 0.003
0.751 0.754 0.503
0.754 0.252 0.508
0.249 0.246 0.497
0.246 0.748 0.492
0.243 0.252 0.997
0.754 0.252 0.997
0.500 0.000 0.500
0.500 0.000 0.000
0.000 0.000 0.000
0.000 0.000 0.500
0.500 0.500 0.000
0.000 0.500 0.500
0.500 0.500 0.500
0.000 0.500 0.000
```

Output
SG   R-3m (166)
Fermi-level density of states   0.386 states/eV/atom
E_tot   -75.5 eV per cell
Uncorrected formation energy   -23.69 eV/f.u.

# 6
Compound: KP2
Source: Alexandria
Functional: PBE
Structure: relaxed

```
KP2
1.0
6.223 0.000 0.000
0.000 6.223 0.000
0.000 0.000 2.427
K P
1 2
Direct
0.000 0.000 0.000
0.000 0.500 0.500
0.500 0.000 0.500
```

Output
SG   P4/mmm (123)
Calculated formation energy   0.758 eV/atom
Fermi-level density of states   1.240 states/eV/atom
E_tot   -9.6 eV per cell

# 7
Compound: Li8Cd2Pd3
Source: Alexandria
Functional: PBE
Structure: relaxed

```
Li8Cd2Pd3
1.0
4.481 0.014 -0.005
0.019 6.633 -2.449
-0.007 -0.396 7.565
Li Cd Pd
8 2 3
Direct
0.498 0.587 0.881
0.498 0.849 0.267
0.999 0.420 0.674
0.502 0.413 0.119
0.001 0.580 0.326
0.999 0.107 0.196
0.502 0.151 0.733
0.001 0.893 0.804
0.501 0.720 0.587
0.499 0.280 0.413
0.500 0.000 0.000
0.003 0.292 0.955
0.997 0.708 0.045
```

Output
SG   P-1 (2)
Calculated formation energy   -0.268 eV/atom
Fermi-level density of states   0.300 states/eV/atom
E_tot   -36.2 eV per cell

# 8
Compound: PmPd2Pb2
Source: Alexandria
Functional: PBE
Structure: relaxed

```
PmPd2Pb2
1.0
4.988 0.000 0.000
0.000 4.826 -0.071
0.000 0.127 10.164
Pb Pd Pm
4 4 2
Direct
0.250 0.752 0.662
0.750 0.252 0.012
0.750 0.248 0.338
0.250 0.748 0.988
0.750 0.752 0.168
0.750 0.737 0.509
0.250 0.263 0.491
0.250 0.248 0.832
0.750 0.243 0.679
0.250 0.757 0.321
```

Output
SG   P2_1/m (11)
Calculated formation energy   -0.533 eV/atom
Fermi-level density of states   0.422 states/eV/atom
E_tot   -50.4 eV per cell